[1]
# Mo5Ir (PBE, optimized geometry)
data_Mo5Ir
_space_group_name_H-M_alt 'P 6/m m m'
_space_group_IT_number 191
_space_group_name_Hall '-P 6 2'
_cell_length_a 5.1497
_cell_length_b 5.1497
_cell_length_c 4.4573
_cell_angle_alpha 90.00
_cell_angle_beta 90.00
_cell_angle_gamma 120.00
loop_
_atom_site_label
_atom_site_type_symbol
_atom_site_fract_x
_atom_site_fract_y
_atom_site_fract_z
_atom_site_occupancy
Mo1 Mo 0.0000 0.5000 0.0000 1
Mo2 Mo 0.3333 0.6667 0.5000 1
Ir1 Ir 0.0000 0.0000 0.5000 1
# V: 102 Å³/f.u.
# Relative energy among the computed polymorphs: 0.560 eV per atom
# ΔH_f (0 K): 0.619 eV/atom


[2]
# BaNbP2S (PBE, optimized geometry)
data_BaNbP2S
_space_group_name_H-M_alt 'P 4/m m m'
_space_group_IT_number 123
_space_group_name_Hall '-P 4 2'
_cell_length_a 4.886
_cell_length_b 4.886
_cell_length_c 5.030
_cell_angle_alpha 90.00
_cell_angle_beta 90.00
_cell_angle_gamma 90.00
loop_
_atom_site_label
_atom_site_type_symbol
_atom_site_fract_x
_atom_site_fract_y
_atom_site_fract_z
_atom_site_occupancy
Ba1 Ba 0.000 0.000 0.000 1
Nb1 Nb 0.500 0.500 0.500 1
P1 P 0.000 0.500 0.500 1
S1 S 0.500 0.500 0.000 1
# V: 120 Å³/f.u.
# Relative energy among the computed polymorphs: 0.000 eV per atom


[3]
# Na2GeSb3Pt4 (PBE, optimized geometry)
data_Na2GeSb3Pt4
_space_group_name_H-M_alt 'P -4 m 2'
_space_group_IT_number 115
_cell_length_a 4.600
_cell_length_b 4.600
_cell_length_c 10.584
_cell_angle_alpha 90.00
_cell_angle_beta 90.00
_cell_angle_gamma 90.00
loop_
_space_group_symop_operation_xyz
'x,y,z'
'y,-x,-z'
'-x,-y,z'
'-y,x,-z'
'-x,y,z'
'-y,-x,-z'
'x,-y,z'
'y,x,-z'
loop_
_atom_site_label
_atom_site_type_symbol
_atom_site_fract_x
_atom_site_fract_y
_atom_site_fract_z
_atom_site_occupancy
Na1 Na 0.000 0.500 0.243 1
Ge1 Ge 0.000 0.000 0.500 1
Sb1 Sb 0.000 0.500 0.870 1
Sb2 Sb 0.500 0.500 0.500 1
Pt1 Pt 0.000 0.000 0.000 1
Pt2 Pt 0.000 0.500 0.620 1
Pt3 Pt 0.500 0.500 0.000 1
# E: -48.1 eV/cell
# V: 224 Å³/f.u.


Q: Which of these has the highest V?
A: Na2GeSb3Pt4


Copy entry 1 word for word.
# Mo5Ir (PBE, optimized geometry)
data_Mo5Ir
_space_group_name_H-M_alt 'P 6/m m m'
_space_group_IT_number 191
_space_group_name_Hall '-P 6 2'
_cell_length_a 5.1497
_cell_length_b 5.1497
_cell_length_c 4.4573
_cell_angle_alpha 90.00
_cell_angle_beta 90.00
_cell_angle_gamma 120.00
loop_
_atom_site_label
_atom_site_type_symbol
_atom_site_fract_x
_atom_site_fract_y
_atom_site_fract_z
_atom_site_occupancy
Mo1 Mo 0.0000 0.5000 0.0000 1
Mo2 Mo 0.3333 0.6667 0.5000 1
Ir1 Ir 0.0000 0.0000 0.5000 1
# V: 102 Å³/f.u.
# Relative energy among the computed polymorphs: 0.560 eV per atom
# ΔH_f (0 K): 0.619 eV/atom